# NaReIr2Pt, optimized geometry, DFT PBE-GGA
# * DOS(E_F): 5.27 states/eV/f.u.
data_NaReIr2Pt
_symmetry_space_group_name_H-M 'P 4/m m m'
_symmetry_Int_Tables_number 123
_symmetry_space_group_name_Hall '-P 4 2'
_cell_length_a 4.7697
_cell_length_b 4.7697
_cell_length_c 4.9164
_cell_angle_alpha 90.00
_cell_angle_beta 90.00
_cell_angle_gamma 90.00
loop_
_atom_site_label
_atom_site_type_symbol
_atom_site_fract_x
_atom_site_fract_y
_atom_site_fract_z
Na1 Na 0.0000 0.0000 0.0000
Re1 Re 0.5000 0.5000 0.5000
Ir1 Ir 0.0000 0.5000 0.5000
Pt1 Pt 0.5000 0.5000 0.0000

***

Here is a relaxed structure of Na2Ir2PtS6 from Alexandria. Energies are from PBE-GGA.

```
data_Na2Ir2PtS6
_symmetry_space_group_name_H-M 'C 1 2/m 1'
_symmetry_Int_Tables_number 12
_cell_length_a 6.2850
_cell_length_b 10.9240
_cell_length_c 6.7520
_cell_angle_alpha 90.00
_cell_angle_beta 107.98
_cell_angle_gamma 90.00
loop_
_symmetry_equiv_pos_as_xyz
'x,y,z'
'-x,-y,-z'
'-x,y,-z'
'x,-y,z'
'x+1/2,y+1/2,z'
'-x+1/2,-y+1/2,-z'
'-x+1/2,y+1/2,-z'
'x+1/2,-y+1/2,z'
loop_
_atom_site_label
_atom_site_type_symbol
_atom_site_fract_x
_atom_site_fract_y
_atom_site_fract_z
Na1 Na 0.0000 0.1642 0.0000
Ir1 Ir 0.0000 0.3325 0.5000
Pt1 Pt 0.0000 0.0000 0.5000
S1 S 0.2262 0.5000 0.6847
S2 S 0.2280 0.1682 0.6831
```

***

# NaIrPtSe2, optimized geometry, DFT PBE-GGA
# * DOS(E_F): 4.51 states/eV/f.u.
data_NaIrPtSe2
_symmetry_space_group_name_H-M 'P 4/m m m'
_symmetry_Int_Tables_number 123
_symmetry_space_group_name_Hall '-P 4 2'
_cell_length_a 4.8517
_cell_length_b 4.8517
_cell_length_c 4.8621
_cell_angle_alpha 90.00
_cell_angle_beta 90.00
_cell_angle_gamma 90.00
loop_
_atom_site_label
_atom_site_type_symbol
_atom_site_fract_x
_atom_site_fract_y
_atom_site_fract_z
Na1 Na 0.0000 0.0000 0.0000
Ir1 Ir 0.5000 0.5000 0.0000
Pt1 Pt 0.0000 0.0000 0.5000
Se1 Se 0.0000 0.5000 0.5000

***

We obtain total energy values of -31.97, -115.71, -18.54 eV for the cell shown for the records listed above, in that order.
We obtain size of the total moment values of 0.000, 0.000, 0.000 μB/f.u. for the records listed above, in that order.